No. 1
First-principles (PBE) data for a geometry-optimized Ni8P2Pd structure, as listed in the Alexandria database.

The crystal system is triclinic. The energy of formation from the pure elements is -0.25 eV/atom. The space-group type is P1, No. 1.

Cell: 4.4483 5.0009 6.4532 Å, 108.57 99.73 104.79°
Element x y z (fractional)
Ni1 0.3499 0.4846 0.8813
Ni2 0.8310 0.3336 0.9370
Ni3 0.2954 0.3167 0.3092
Ni4 0.6878 0.0197 0.1470
Ni5 0.4948 0.7978 0.6709
Ni6 0.9455 0.0362 0.5375
P1 0.6827 0.6085 0.2201
Pd1 0.0916 0.9098 0.9090
P2 0.4987 0.2097 0.5983
Ni7 0.2362 0.7820 0.2806
Ni8 0.8865 0.5014 0.5091



No. 2
First-principles (PBE) data for a geometry-optimized Tb2Sm7Dy3 structure, as listed in the Alexandria database.

The crystal system is monoclinic. The energy of formation from the pure elements is 0.07 eV/atom. The space-group type is P2/m, No. 10.

Cell: 3.5507 6.4094 18.0386 Å, 75.36 90.00 90.00°
Element x y z (fractional)
Sm1 0.5000 0.9450 0.8301
Sm2 0.5000 0.2397 0.5036
Sm3 0.0000 0.5584 0.1667
Sm4 0.5000 0.0550 0.1699
Dy1 0.5000 0.5000 0.0000
Tb1 0.5000 0.6121 0.3292
Dy2 0.0000 0.1123 0.3408
Dy3 0.0000 0.8877 0.6592
Tb2 0.5000 0.3879 0.6708
Sm5 0.5000 0.7603 0.4964
Sm6 0.0000 0.4416 0.8333
Sm7 0.0000 0.0000 0.0000



Computed values of calculated volume (unit: Å³ per atom) for the preceding records, in sequence: 11.51, 33.10.